Below is an optimized crystal structure of CrHg2Br, with properties calculated at the PBE-GGA level.

Geometry as POSCAR:
```
CrHg2Br
1.0
2.890 -6.206 0.000
2.890 6.206 0.000
-2.765 0.000 2.914
Cr Hg Br
1 2 1
direct
0.000 0.000 0.000
0.000 0.500 0.500
0.500 0.000 0.500
0.500 0.500 0.000
```

Properties
**Uncorrected formation energy**: 0.1707 eV/atom
**Space-group type**: C2/m
**M_tot**: 4.81 μB/cell
**Uncorrected energy**: -2.804 eV/atom


Below is an optimized crystal structure of CeCo2H9, with properties calculated at the PBE-GGA level.

Geometry as POSCAR:
```
CeCo2H9
1.0
-3.120 3.120 3.907
3.120 -3.120 3.907
3.120 3.120 -3.907
Ce Co H
2 4 18
direct
0.375 0.625 0.750
0.625 0.375 0.250
0.000 0.000 0.000
0.000 0.000 0.500
0.000 0.500 0.000
0.500 0.000 0.500
0.010 0.465 0.256
0.010 0.754 0.545
0.125 0.875 0.250
0.246 0.291 0.256
0.246 0.990 0.955
0.291 0.246 0.756
0.291 0.535 0.045
0.465 0.010 0.756
0.465 0.709 0.455
0.535 0.291 0.545
0.535 0.990 0.244
0.709 0.465 0.955
0.709 0.754 0.244
0.754 0.010 0.045
0.754 0.709 0.744
0.875 0.125 0.750
0.990 0.246 0.455
0.990 0.535 0.744
```

Properties
**Space-group type**: I4_1/amd
**M_tot**: 2.96 μB/cell
**Uncorrected energy**: -4.155 eV/atom


Below is an optimized crystal structure of LiHfIrPt, with properties calculated at the PBE-GGA level.

Geometry as POSCAR:
```
LiHfIrPt
1.0
0.000 3.156 3.156
3.156 0.000 3.156
3.156 3.156 0.000
Li Hf Ir Pt
1 1 1 1
direct
0.000 0.000 0.000
0.500 0.500 0.500
0.250 0.250 0.250
0.750 0.750 0.750
```

Properties
**Space-group type**: F-43m
**Formation energy from the elements**: -819 meV/atom
**M_tot**: 0.00 μB/cell
**Uncorrected energy**: -7.511 eV/atom


What did we get for ρ? Answer: 8467; 5830; 15129 kg/m³, in the order shown.